Here is Hf4Ge2CN after structural relaxation from the Open Quantum Materials Database. Energies are from PBE.

The structure in extended XYZ format:
```
8
Lattice="3.260 0.000 0.000 -1.630 2.823 0.000 0.000 0.000 13.570" Properties=species:S:1:pos:R:3 pbc="T T T"
Hf 0.000 1.882 1.264
Hf 0.000 1.882 5.539
Hf 1.630 0.941 8.031
Hf 1.630 0.941 12.306
Ge 0.000 1.882 10.162
Ge 1.630 0.941 3.408
C 0.000 0.000 0.000
N 0.000 0.000 6.785
```

Values from the calculation:
uncorrected energy = -0.6838 Ry/atom